1.
# Er3Mn5Te12 | the Alexandria database | GGA-PBE | optimized geometry
# **Total magnetization**: 160.0 Bohr magnetons per cell
# **Raw formation energy**: -0.507 eV per atom
data_Er3Mn5Te12
_chemical_formula_sum 'Er24 Mn40 Te96'
_cell_length_a 16.9185
_cell_length_b 16.9185
_cell_length_c 16.9185
_cell_angle_alpha 90.00
_cell_angle_beta 90.00
_cell_angle_gamma 90.00
_space_group_name_H-M_alt 'I a -3 d'
_space_group_IT_number 230
_space_group_name_Hall '-I 4bd 2c 3'
loop_
_atom_site_label
_atom_site_type_symbol
_atom_site_fract_x
_atom_site_fract_y
_atom_site_fract_z
Er1 Er 0.0000 0.2500 0.1250
Mn1 Mn 0.0000 0.0000 0.0000
Mn2 Mn 0.0000 0.2500 0.3750
Te1 Te 0.0252 0.0620 0.6495


2.
# ErMnTe | the Alexandria database | GGA-PBE | optimized geometry
# **Total magnetization**: 0.0 Bohr magnetons per cell
# **Raw formation energy**: -0.356 eV per atom
data_ErMnTe
_chemical_formula_sum 'Er6 Mn6 Te6'
_cell_length_a 3.7342
_cell_length_b 3.7342
_cell_length_c 38.5113
_cell_angle_alpha 90.00
_cell_angle_beta 90.00
_cell_angle_gamma 120.00
_space_group_name_H-M_alt 'R -3 m'
_space_group_IT_number 166
_space_group_name_Hall '-R 3 2"'
loop_
_atom_site_label
_atom_site_type_symbol
_atom_site_fract_x
_atom_site_fract_y
_atom_site_fract_z
Er1 Er 0.0000 0.0000 0.0558
Mn1 Mn 0.0000 0.0000 0.3342
Te1 Te 0.0000 0.0000 0.2189


3.
# Er3MnTe | the Alexandria database | GGA-PBE | optimized geometry
# **Total magnetization**: 3.9 Bohr magnetons per cell
# **Raw formation energy**: -0.486 eV per atom
data_Er3MnTe
_chemical_formula_sum 'Er6 Mn2 Te2'
_cell_length_a 8.3569
_cell_length_b 3.8855
_cell_length_c 8.3851
_cell_angle_alpha 90.00
_cell_angle_beta 108.20
_cell_angle_gamma 90.00
_space_group_name_H-M_alt 'P 1 21/m 1'
_space_group_IT_number 11
loop_
_space_group_symop_operation_xyz
'x,y,z'
'-x,-y,-z'
'-x,y+1/2,-z'
'x,-y+1/2,z'
loop_
_atom_site_label
_atom_site_type_symbol
_atom_site_fract_x
_atom_site_fract_y
_atom_site_fract_z
Er1 Er 0.0661 0.2500 0.2361
Er2 Er 0.3113 0.2500 0.9265
Er3 Er 0.3164 0.7500 0.5890
Mn1 Mn 0.0646 0.2500 0.5839
Te1 Te 0.3780 0.7500 0.2355


Question: Look up the raw formation energy of the first one.
Answer: -0.507 eV per atom


Question: Look up the total magnetization of the second one.
Answer: 0.0 Bohr magnetons per cell


Question: Look up the total magnetization of the second one.
Answer: 0.0 Bohr magnetons per cell


Question: What is the formula in the first record?
Answer: Er3Mn5Te12